Entry from the Alexandria database: La2LuCo after structural relaxation (PBE).

Computed properties:
Energy in eV/atom: -5.18
DOS(E_F) in states/eV per atom: 1.40
ΔE_f in eV/atom: 0.193

Structure (extended XYZ):
```
4
Lattice="1.8484 1.0672 10.4315 -1.8484 1.0672 10.4315 0.0000 -2.1343 10.4315" Properties=species:S:1:pos:R:3 pbc="T T T"
La 0.0000 0.0000 3.5117
La 0.0000 0.0000 27.7829
Lu 0.0000 0.0000 0.0000
Co 0.0000 0.0000 15.6473
```

---

Entry from the Alexandria database: SrRh2Br after structural relaxation (PBE).

Computed properties:
E_form (uncorrected) in eV/atom: 0.0734
Energy relative to the lowest polymorph listed for this composition in meV/atom: 328.8
Energy in eV/atom: -4.44
DOS(E_F) in states/eV per atom: 1.24

Structure (extended XYZ):
```
4
Lattice="2.9270 -5.0686 0.0000 2.9270 5.0686 0.0000 -1.8464 0.0000 2.7414" Properties=species:S:1:pos:R:3 pbc="T T T"
Sr 0.0000 0.0000 0.0000
Rh 0.5403 2.5343 1.3707
Rh 0.5403 -2.5343 1.3707
Br 2.9270 0.0000 0.0000
```

---

Entry from the Alexandria database: Ta2HgSe after structural relaxation (PBE).

Computed properties:
E_form (uncorrected) in eV/atom: -0.0267
Energy relative to the lowest polymorph listed for this composition in meV/atom: 0.0
Energy in eV/atom: -6.90
DOS(E_F) in states/eV per atom: 0.60

Structure (extended XYZ):
```
4
Lattice="1.6296 0.9408 9.3596 -1.6296 0.9408 9.3596 0.0000 -1.8817 9.3596" Properties=species:S:1:pos:R:3 pbc="T T T"
Ta 0.0000 0.0000 0.0000
Ta 0.0000 0.0000 7.2536
Hg 0.0000 0.0000 21.0263
Se 0.0000 0.0000 14.8062
```

---

Entry from the Alexandria database: TbPr4Nd2Mg after structural relaxation (PBE).

Computed properties:
Energy in eV/atom: -4.36
DOS(E_F) in states/eV per atom: 1.29
ΔE_f in eV/atom: 0.003

Structure (extended XYZ):
```
8
Lattice="5.1223 0.0000 0.0000 0.0000 5.1223 0.0000 0.0000 0.0000 10.2788" Properties=species:S:1:pos:R:3 pbc="T T T"
Tb 0.0000 0.0000 0.0000
Pr 0.0000 2.5612 2.6009
Pr 0.0000 2.5612 7.6779
Pr 2.5612 0.0000 2.6009
Pr 2.5612 0.0000 7.6779
Nd 0.0000 0.0000 5.1394
Nd 2.5612 2.5612 0.0000
Mg 2.5612 2.5612 5.1394
```